[1]
Material: Cr2IrS
Method: DFT, PBE-GGA
State: optimized geometry

The volume is 284.2 Å³ per cell. The total energy is -7.69 eV per atom.

The structure belongs to space group I-42d (No. 122); the cell edges are 5.3178, 5.3178 and 10.0498 Å and the angles 90.00°, 90.00° and 90.00°. The inequivalent atoms are Cr at (0.2344, 0.2500, 0.1250), Ir at (0.0000, 0.0000, 0.5000) and S at (0.0000, 0.0000, 0.0000).

=====

[2]
Material: Cr3IrS
Method: DFT, PBE-GGA
State: optimized geometry

The volume is 68.9 Å³ per cell. The total energy is -7.90 eV per atom. The polymorph energy (0 for the lowest one) comes out at 0.00 eV/f.u.

The structure belongs to space group Pm-3m (No. 221); the cell edges are 4.0989, 4.0989 and 4.0989 Å and the angles 90.00°, 90.00° and 90.00°. The inequivalent atoms are Cr at (0.0000, 0.0000, 0.5000), Ir at (0.5000, 0.5000, 0.5000) and S at (0.0000, 0.0000, 0.0000).

=====

[3]
Material: CrIrS2
Method: DFT, PBE-GGA
State: optimized geometry

The volume is 234.9 Å³ per cell. The total energy is -6.70 eV per atom. The polymorph energy (0 for the lowest one) comes out at 1.10 eV/f.u.

The structure belongs to space group R-3m (No. 166, hexagonal axes); the cell edges are 3.5837, 3.5837 and 21.1227 Å and the angles 90.00°, 90.00° and 120.00°. The inequivalent atoms are Cr at (0.0000, 0.0000, 0.0000), Ir at (0.0000, 0.0000, 0.5000) and S at (0.0000, 0.0000, 0.1111).

=====

[4]
Material: CrIrS2
Method: DFT, PBE-GGA
State: optimized geometry

The volume is 276.3 Å³ per cell. The total energy is -6.80 eV per atom. The polymorph energy (0 for the lowest one) comes out at 0.73 eV/f.u.

The structure belongs to space group I-42d (No. 122); the cell edges are 5.1840, 5.1840 and 10.2822 Å and the angles 90.00°, 90.00° and 90.00°. The inequivalent atoms are Cr at (0.0000, 0.0000, 0.0000), Ir at (0.0000, 0.0000, 0.5000) and S at (0.2338, 0.2500, 0.1250).

=====

[5]
Material: CrIrS2
Method: DFT, PBE-GGA
State: optimized geometry

The volume is 169.2 Å³ per cell. The total energy is -6.98 eV per atom. The polymorph energy (0 for the lowest one) comes out at 0.00 eV/f.u.

The structure belongs to space group R-3m (No. 166, hexagonal axes); the cell edges are 2.9445, 2.9445 and 22.5315 Å and the angles 90.00°, 90.00° and 120.00°. The inequivalent atoms are Cr at (0.0000, 0.0000, 0.0000), Ir at (0.0000, 0.0000, 0.5000) and S at (0.0000, 0.0000, 0.4000).

=====

[6]
Material: CrIrS2
Method: DFT, PBE-GGA
State: optimized geometry

The volume is 207.7 Å³ per cell. The total energy is -6.42 eV per atom. The polymorph energy (0 for the lowest one) comes out at 2.25 eV/f.u.

The structure belongs to space group Fm-3m (No. 225); the cell edges are 5.9217, 5.9217 and 5.9217 Å and the angles 90.00°, 90.00° and 90.00°. The inequivalent atoms are Cr at (0.0000, 0.0000, 0.0000), Ir at (0.0000, 0.0000, 0.5000) and S at (0.2500, 0.2500, 0.2500).